Entry 1:
Ta3Au | meta-GGA SCAN | PBEsol geometry

The calculation puts the theoretical density at 17.772 Mg/m³. As for the space group: Cmcm, No. 63. The volume comes out at 17.3 Å³ per atom. The total magnetization comes out at 0.00 μB/f.u. The calculation puts the formation energy from the elements at -104 meV per atom. As for the polymorph energy (0 for the lowest one): 57 meV per atom.

Lattice parameters (Å, degrees): 6.138 9.551 4.716 90.00 90.00 90.00
Element x y z (fractional)
Ta 0.000 0.131 0.250
Ta 0.000 0.869 0.750
Ta 0.244 0.394 0.250
Ta 0.244 0.606 0.750
Ta 0.256 0.106 0.750
Ta 0.256 0.894 0.250
Ta 0.500 0.369 0.750
Ta 0.500 0.631 0.250
Ta 0.744 0.106 0.750
Ta 0.744 0.894 0.250
Ta 0.756 0.394 0.250
Ta 0.756 0.606 0.750
Au 0.000 0.345 0.750
Au 0.000 0.655 0.250
Au 0.500 0.155 0.250
Au 0.500 0.845 0.750

---

Entry 2:
Hg2MoSN | meta-GGA SCAN | PBEsol geometry

As for the total energy: -186.14 eV per formula unit. The calculation puts the theoretical density at 10.069 Mg/m³. As for the space group: P4/mmm, No. 123. The volume comes out at 17.9 Å³ per atom. The total magnetization comes out at 2.03 μB/f.u.

Lattice parameters (Å, degrees): 4.794 4.794 3.898 90.00 90.00 90.00
Element x y z (fractional)
Hg 0.000 0.500 0.000
Hg 0.500 0.000 0.000
Mo 0.000 0.000 0.500
S 0.500 0.500 0.500
N 0.000 0.000 0.000

---

- What is the formula in the second record?
  Hg2MoSN